An optimized crystal structure of ZrCu, computed with PBE-GGA.

```
ZrCu
1.0
7.605 -0.867 0.000
0.483 5.981 0.000
0.000 0.000 4.585
Zr Cu
6 6
Cartesian
6.390 0.772 2.293
0.654 2.326 0.000
1.892 0.683 2.293
1.546 3.795 2.293
7.913 4.571 0.000
3.415 4.481 0.000
5.652 2.637 0.000
5.150 0.055 0.000
6.515 3.604 2.293
3.289 1.650 0.000
4.655 5.199 2.293
4.153 2.616 2.293
```

M_tot in μB per atom: 0.002
Energy of formation in eV per atom: -0.005